Compound: Ca2MnP2H4O10
Source: Alexandria
Functional: PBE+U
Structure: relaxed

Lattice parameters (Å, degrees): 5.5714 5.8586 6.6342 90.28 102.46 108.78
Space group P-1 (No. 2)
Unique sites:
Ca (0.1630, 0.3952, 0.2664) [2 per cell]
Mn (0.5000, 0.0000, 0.5000) [1 per cell]
P (0.1486, 0.2486, 0.7325) [2 per cell]
H (0.3114, 0.0741, 0.0624) [2 per cell]
H (0.4195, 0.7129, 0.8416) [2 per cell]
O (0.1035, 0.7526, 0.4295) [2 per cell]
O (0.1172, 0.0071, 0.8298) [2 per cell]
O (0.1984, 0.4603, 0.8982) [2 per cell]
O (0.3767, 0.3073, 0.6167) [2 per cell]
O (0.4317, 0.1597, 0.1978) [2 per cell]

Values from the calculation:
VASP energy = -126.1 eV/f.u.
Spin magnetization = 5.00 Bohr magnetons per cell